The following is a DFT calculation (SCAN) of a PBEsol-optimized structure of VS2O8.

Lattice parameters (Å, degrees): 8.726 8.726 8.726 56.43 56.43 56.43
Fractional coordinates of all 33 atoms:
V1 0.000 0.000 0.000
V2 0.208 0.208 0.208
V3 0.497 0.497 0.497
S1 0.114 0.377 0.820
S2 0.319 0.895 0.599
S3 0.377 0.820 0.114
S4 0.599 0.319 0.895
S5 0.820 0.114 0.377
S6 0.895 0.599 0.319
O1 0.086 0.463 0.218
O2 0.126 0.191 0.832
O3 0.166 0.881 0.801
O4 0.191 0.832 0.126
O5 0.213 0.311 0.955
O6 0.218 0.086 0.463
O7 0.255 0.449 0.620
O8 0.311 0.955 0.213
O9 0.343 0.729 0.567
O10 0.449 0.620 0.255
O11 0.463 0.218 0.086
O12 0.497 0.893 0.568
O13 0.517 0.864 0.920
O14 0.567 0.343 0.729
O15 0.568 0.497 0.893
O16 0.620 0.255 0.449
O17 0.729 0.567 0.343
O18 0.801 0.166 0.881
O19 0.832 0.126 0.191
O20 0.864 0.920 0.517
O21 0.881 0.801 0.166
O22 0.893 0.568 0.497
O23 0.920 0.517 0.864
O24 0.955 0.213 0.311

Output
The value obtained for the uncorrected formation energy is -1.71 eV/atom. The space group is R3. The relative energy among the computed polymorphs is 2.6 kJ per mole of atoms. The value obtained for the raw total energy is -9.585 eV per atom.